1.
DFT (GGA-PBE) results for a relaxed HfMnTeIr2 crystal.

Output
* space group: No. 123
* density of states at the Fermi level: 5.1 states/eV/cell
* formation energy from raw total energies: 0.744 eV per atom
* M_tot: 0.00 μB per formula unit

abc: 4.485 4.865 4.485
angles: 90.00 90.00 90.00
Element x y z (fractional)
Te (0.000, 0.500, 0.000)
Ir (0.000, 0.000, 0.500)
Ir (0.500, 0.000, 0.000)
Hf (0.500, 0.500, 0.500)
Mn (0.000, 0.000, 0.000)


2.
DFT (GGA-PBE) results for a relaxed HfMo3Ir crystal.

Output
* space group: No. 221
* ΔH_f (0 K): 1.27 eV/atom
* energy above the most stable polymorph in this dataset: 0.000 eV/atom
* density of states at the Fermi level: 6.0 states/eV/cell
* M_tot: 0.00 μB per formula unit

abc: 4.733 4.733 4.733
angles: 90.00 90.00 90.00
Element x y z (fractional)
Mo (0.000, 0.500, 0.000)
Mo (0.000, 0.000, 0.500)
Mo (0.500, 0.000, 0.000)
Ir (0.000, 0.000, 0.000)
Hf (0.500, 0.500, 0.500)


3.
DFT (GGA-PBE) results for a relaxed HfMoIr2 crystal.

Output
* space group: No. 225
* ΔH_f (0 K): -0.21 eV/atom
* energy above the most stable polymorph in this dataset: 0.282 eV/atom
* density of states at the Fermi level: 7.4 states/eV/cell
* M_tot: 0.00 μB per formula unit

abc: 4.544 4.544 4.544
angles: 60.00 60.00 60.00
Element x y z (fractional)
Mo (0.000, 0.000, 0.000)
Ir (0.250, 0.250, 0.250)
Ir (0.750, 0.750, 0.750)
Hf (0.500, 0.500, 0.500)


4.
DFT (GGA-PBE) results for a relaxed HfMoIr2 crystal.

Output
* space group: No. 122
* ΔH_f (0 K): 0.23 eV/atom
* energy above the most stable polymorph in this dataset: 0.716 eV/atom
* density of states at the Fermi level: 4.2 states/eV/cell
* M_tot: 0.00 μB per formula unit

abc: 4.090 4.090 9.204
angles: 77.16 77.16 90.00
Element x y z (fractional)
Mo (0.500, 0.500, 0.000)
Mo (0.250, 0.750, 0.500)
Ir (0.605, 0.125, 0.250)
Ir (0.145, 0.625, 0.250)
Ir (0.375, 0.395, 0.750)
Ir (0.875, 0.855, 0.750)
Hf (0.000, 0.000, 0.000)
Hf (0.750, 0.250, 0.500)


5.
DFT (GGA-PBE) results for a relaxed HfMo2Ir4 crystal.

Output
* space group: No. 139
* ΔH_f (0 K): 1.23 eV/atom
* density of states at the Fermi level: 7.7 states/eV/cell
* M_tot: 0.00 μB per formula unit

abc: 4.879 4.879 7.067
angles: 69.81 69.81 90.00
Element x y z (fractional)
Mo (0.598, 0.598, 0.805)
Mo (0.402, 0.402, 0.195)
Ir (0.792, 0.792, 0.417)
Ir (0.208, 0.208, 0.583)
Ir (0.000, 0.500, 0.000)
Ir (0.500, 0.000, 0.000)
Hf (0.000, 0.000, 0.000)


6.
DFT (GGA-PBE) results for a relaxed HfMoIr3 crystal.

Output
* space group: No. 221
* ΔH_f (0 K): 1.08 eV/atom
* energy above the most stable polymorph in this dataset: 0.000 eV/atom
* density of states at the Fermi level: 4.6 states/eV/cell
* M_tot: 0.00 μB per formula unit

abc: 4.690 4.690 4.690
angles: 90.00 90.00 90.00
Element x y z (fractional)
Mo (0.000, 0.000, 0.000)
Ir (0.000, 0.500, 0.000)
Ir (0.000, 0.000, 0.500)
Ir (0.500, 0.000, 0.000)
Hf (0.500, 0.500, 0.500)


7.
DFT (GGA-PBE) results for a relaxed HfMoIr crystal.

Output
* space group: No. 12
* ΔH_f (0 K): -0.37 eV/atom
* density of states at the Fermi level: 4.7 states/eV/cell
* M_tot: 0.00 μB per formula unit

abc: 4.287 5.713 5.281
angles: 75.41 66.05 67.96
Element x y z (fractional)
Ir (0.334, 0.201, 0.132)
Ir (0.666, 0.799, 0.868)
Mo (0.656, 0.426, 0.262)
Mo (0.344, 0.574, 0.738)
Hf (0.939, 0.812, 0.310)
Hf (0.061, 0.188, 0.690)


8.
DFT (GGA-PBE) results for a relaxed HfMoIr2 crystal.

Output
* space group: No. 123
* ΔH_f (0 K): -0.49 eV/atom
* energy above the most stable polymorph in this dataset: 0.000 eV/atom
* density of states at the Fermi level: 4.9 states/eV/cell
* M_tot: 0.00 μB per formula unit

abc: 3.886 4.075 4.075
angles: 90.00 90.00 90.00
Element x y z (fractional)
Mo (0.500, 0.500, 0.500)
Ir (0.000, 0.000, 0.500)
Ir (0.000, 0.500, 0.000)
Hf (0.500, 0.000, 0.000)


9.
DFT (GGA-PBE) results for a relaxed Hf2MoIr crystal.

Output
* space group: No. 225
* ΔH_f (0 K): -0.61 eV/atom
* energy above the most stable polymorph in this dataset: 0.000 eV/atom
* density of states at the Fermi level: 7.3 states/eV/cell
* M_tot: 0.00 μB per formula unit

abc: 4.638 4.638 4.638
angles: 60.00 60.00 60.00
Element x y z (fractional)
Mo (0.000, 0.000, 0.000)
Ir (0.500, 0.500, 0.500)
Hf (0.250, 0.250, 0.250)
Hf (0.750, 0.750, 0.750)


10.
DFT (GGA-PBE) results for a relaxed HfMo3Ir crystal.

Output
* space group: No. 221
* ΔH_f (0 K): 2.21 eV/atom
* energy above the most stable polymorph in this dataset: 0.945 eV/atom
* density of states at the Fermi level: 5.1 states/eV/cell
* M_tot: 0.00 μB per formula unit

abc: 4.674 4.674 4.674
angles: 90.00 90.00 90.00
Element x y z (fractional)
Mo (0.000, 0.500, 0.000)
Mo (0.000, 0.000, 0.500)
Mo (0.500, 0.000, 0.000)
Ir (0.500, 0.500, 0.500)
Hf (0.000, 0.000, 0.000)


11.
DFT (GGA-PBE) results for a relaxed Hf2MoIr crystal.

Output
* space group: No. 122
* ΔH_f (0 K): 0.14 eV/atom
* energy above the most stable polymorph in this dataset: 0.747 eV/atom
* density of states at the Fermi level: 8.6 states/eV/cell
* M_tot: 0.00 μB per formula unit

abc: 7.323 7.323 5.925
angles: 51.83 51.83 90.00
Element x y z (fractional)
Mo (0.500, 0.500, 0.000)
Mo (0.250, 0.750, 0.500)
Ir (0.000, 0.000, 0.000)
Ir (0.750, 0.250, 0.500)
Hf (0.641, 0.125, 0.250)
Hf (0.109, 0.625, 0.250)
Hf (0.375, 0.359, 0.750)
Hf (0.875, 0.891, 0.750)


12.
DFT (GGA-PBE) results for a relaxed Hf2MoIr crystal.

Output
* space group: No. 123
* ΔH_f (0 K): -0.60 eV/atom
* energy above the most stable polymorph in this dataset: 0.009 eV/atom
* density of states at the Fermi level: 3.0 states/eV/cell
* M_tot: 0.00 μB per formula unit

abc: 3.312 4.625 4.625
angles: 90.00 90.00 90.00
Element x y z (fractional)
Mo (0.500, 0.500, 0.500)
Ir (0.500, 0.000, 0.000)
Hf (0.000, 0.000, 0.500)
Hf (0.000, 0.500, 0.000)


13.
DFT (GGA-PBE) results for a relaxed HfPaMoIr crystal.

Output
* space group: No. 216
* ΔH_f (0 K): -0.40 eV/atom
* density of states at the Fermi level: 3.2 states/eV/cell
* M_tot: 0.00 μB per formula unit

abc: 4.783 4.783 4.783
angles: 60.00 60.00 60.00
Element x y z (fractional)
Mo (0.750, 0.750, 0.750)
Pa (0.000, 0.000, 0.000)
Hf (0.500, 0.500, 0.500)
Ir (0.250, 0.250, 0.250)


14.
DFT (GGA-PBE) results for a relaxed PuHfMoIr crystal.

Output
* space group: No. 216
* ΔH_f (0 K): -0.30 eV/atom
* density of states at the Fermi level: 5.1 states/eV/cell
* M_tot: 4.03 μB per formula unit

abc: 4.723 4.723 4.723
angles: 60.00 60.00 60.00
Element x y z (fractional)
Mo (0.500, 0.500, 0.500)
Ir (0.000, 0.000, 0.000)
Hf (0.250, 0.250, 0.250)
Pu (0.750, 0.750, 0.750)


15.
DFT (GGA-PBE) results for a relaxed Hf2ReMoIr crystal.

Output
* space group: No. 123
* ΔH_f (0 K): 1.15 eV/atom
* density of states at the Fermi level: 5.0 states/eV/cell
* M_tot: 0.00 μB per formula unit

abc: 4.940 4.585 4.940
angles: 90.00 90.00 90.00
Element x y z (fractional)
Re (0.500, 0.500, 0.500)
Mo (0.000, 0.500, 0.000)
Ir (0.000, 0.000, 0.000)
Hf (0.000, 0.000, 0.500)
Hf (0.500, 0.000, 0.000)


16.
DFT (GGA-PBE) results for a relaxed HfTaMoIr crystal.

Output
* space group: No. 216
* ΔH_f (0 K): -0.56 eV/atom
* density of states at the Fermi level: 1.2 states/eV/cell
* M_tot: 0.00 μB per formula unit

abc: 4.584 4.584 4.584
angles: 60.00 60.00 60.00
Element x y z (fractional)
Mo (0.500, 0.500, 0.500)
Ir (0.000, 0.000, 0.000)
Hf (0.750, 0.750, 0.750)
Ta (0.250, 0.250, 0.250)


17.
DFT (GGA-PBE) results for a relaxed HfTiMoIr crystal.

Output
* space group: No. 216
* ΔH_f (0 K): -0.60 eV/atom
* density of states at the Fermi level: 2.7 states/eV/cell
* M_tot: 0.00 μB per formula unit

abc: 4.532 4.532 4.532
angles: 60.00 60.00 60.00
Element x y z (fractional)
Mo (0.500, 0.500, 0.500)
Ir (0.000, 0.000, 0.000)
Hf (0.750, 0.750, 0.750)
Ti (0.250, 0.250, 0.250)


18.
DFT (GGA-PBE) results for a relaxed HfZnMoIr2 crystal.

Output
* space group: No. 123
* ΔH_f (0 K): 1.57 eV/atom
* density of states at the Fermi level: 4.0 states/eV/cell
* M_tot: 3.71 μB per formula unit

abc: 4.794 4.887 4.794
angles: 90.00 90.00 90.00
Element x y z (fractional)
Mo (0.500, 0.500, 0.500)
Ir (0.000, 0.000, 0.500)
Ir (0.500, 0.000, 0.000)
Hf (0.000, 0.000, 0.000)
Zn (0.000, 0.500, 0.000)


19.
DFT (GGA-PBE) results for a relaxed HfZrMoIr crystal.

Output
* space group: No. 216
* ΔH_f (0 K): -0.56 eV/atom
* density of states at the Fermi level: 2.7 states/eV/cell
* M_tot: 0.00 μB per formula unit

abc: 4.660 4.660 4.660
angles: 60.00 60.00 60.00
Element x y z (fractional)
Mo (0.750, 0.750, 0.750)
Ir (0.250, 0.250, 0.250)
Hf (0.000, 0.000, 0.000)
Zr (0.500, 0.500, 0.500)


20.
DFT (GGA-PBE) results for a relaxed Hf6Ir3N crystal.

Output
* space group: No. 14
* density of states at the Fermi level: 15.4 states/eV/cell
* formation energy from raw total energies: -0.849 eV per atom
* M_tot: 0.00 μB per formula unit

abc: 5.786 7.130 8.939
angles: 90.00 85.71 90.00
Element x y z (fractional)
Hf (0.673, 0.150, 0.950)
Hf (0.642, 0.217, 0.570)
Hf (0.660, 0.443, 0.263)
Hf (0.340, 0.557, 0.737)
Hf (0.358, 0.783, 0.430)
Hf (0.327, 0.850, 0.050)
Hf (0.173, 0.350, 0.450)
Hf (0.142, 0.283, 0.070)
Hf (0.160, 0.057, 0.763)
Hf (0.840, 0.943, 0.237)
Hf (0.858, 0.717, 0.930)
Hf (0.827, 0.650, 0.550)
Ir (0.581, 0.898, 0.731)
Ir (0.500, 0.500, 0.000)
Ir (0.419, 0.102, 0.269)
Ir (0.081, 0.602, 0.231)
Ir (0.000, 0.000, 0.500)
Ir (0.919, 0.398, 0.769)
N (0.500, 0.500, 0.500)
N (0.000, 0.000, 0.000)


21.
DFT (GGA-PBE) results for a relaxed HfIrN2 crystal.

Output
* space group: No. 225
* energy above the most stable polymorph in this dataset: 0.601 eV/atom
* density of states at the Fermi level: 2.9 states/eV/cell
* formation energy from raw total energies: 0.198 eV per atom
* M_tot: 0.00 μB per formula unit

abc: 3.959 3.959 3.959
angles: 60.00 60.00 60.00
Element x y z (fractional)
Ir (0.500, 0.500, 0.500)
Hf (0.000, 0.000, 0.000)
N (0.250, 0.250, 0.250)
N (0.750, 0.750, 0.750)


22.
DFT (GGA-PBE) results for a relaxed Hf3IrN crystal.

Output
* space group: No. 12
* density of states at the Fermi level: 3.8 states/eV/cell
* formation energy from raw total energies: -1.044 eV per atom
* M_tot: 0.00 μB per formula unit

abc: 5.865 5.871 5.865
angles: 89.97 123.52 89.98
Element x y z (fractional)
Ir (0.429, 0.634, 0.321)
Ir (0.928, 0.634, 0.822)
Hf (0.070, 0.970, 0.179)
Hf (0.787, 0.970, 0.463)
Hf (0.570, 0.297, 0.679)
Hf (0.429, 0.796, 0.821)
Hf (0.287, 0.297, 0.963)
Hf (0.928, 0.471, 0.321)
N (0.179, 0.134, 0.571)
N (0.679, 0.134, 0.071)


23.
DFT (GGA-PBE) results for a relaxed Hf3IrN crystal.

Output
* space group: No. 15
* density of states at the Fermi level: 3.3 states/eV/cell
* formation energy from raw total energies: -1.196 eV per atom
* M_tot: 0.00 μB per formula unit

abc: 6.172 6.162 6.172
angles: 60.10 119.19 119.90
Element x y z (fractional)
Ir (0.224, 0.478, 0.138)
Ir (0.704, 0.978, 0.618)
Hf (0.124, 0.978, 0.038)
Hf (0.265, 0.030, 0.576)
Hf (0.804, 0.478, 0.718)
Hf (0.662, 0.926, 0.179)
Hf (0.663, 0.426, 0.180)
Hf (0.266, 0.530, 0.577)
N (0.464, 0.228, 0.878)
N (0.964, 0.728, 0.378)


24.
DFT (GGA-PBE) results for a relaxed Hf3IrN crystal.

Output
* space group: No. 8
* density of states at the Fermi level: 5.7 states/eV/cell
* formation energy from raw total energies: -1.100 eV per atom
* M_tot: 0.00 μB per formula unit

abc: 8.126 3.237 6.528
angles: 104.36 90.47 90.04
Element x y z (fractional)
Ir (0.854, 0.673, 0.122)
Ir (0.968, 0.461, 0.701)
Hf (0.675, 0.041, 0.859)
Hf (0.131, 0.098, 0.974)
Hf (0.435, 0.700, 0.177)
Hf (0.384, 0.444, 0.666)
Hf (0.715, 0.321, 0.420)
Hf (0.086, 0.818, 0.414)
N (0.547, 0.871, 0.519)
N (0.400, 0.074, 0.926)


25.
DFT (GGA-PBE) results for a relaxed HfIrN2 crystal.

Output
* space group: No. 122
* energy above the most stable polymorph in this dataset: 0.020 eV/atom
* density of states at the Fermi level: 3.3 states/eV/cell
* formation energy from raw total energies: -0.382 eV per atom
* M_tot: 0.00 μB per formula unit

abc: 4.354 4.354 6.381
angles: 70.05 70.05 90.00
Element x y z (fractional)
Ir (0.000, 0.000, 0.000)
Ir (0.750, 0.250, 0.500)
Hf (0.500, 0.500, 0.000)
Hf (0.250, 0.750, 0.500)
N (0.638, 0.125, 0.250)
N (0.112, 0.625, 0.250)
N (0.375, 0.362, 0.750)
N (0.875, 0.888, 0.750)


26.
DFT (GGA-PBE) results for a relaxed Hf3IrN crystal.

Output
* space group: No. 14
* density of states at the Fermi level: 3.9 states/eV/cell
* formation energy from raw total energies: -0.669 eV per atom
* M_tot: 0.00 μB per formula unit

abc: 20.975 5.662 6.772
angles: 90.00 152.62 90.00
Element x y z (fractional)
Ir (0.480, 0.743, 0.439)
Ir (0.520, 0.257, 0.561)
Ir (0.020, 0.243, 0.061)
Ir (0.980, 0.757, 0.939)
Hf (0.242, 0.017, 0.865)
Hf (0.758, 0.983, 0.135)
Hf (0.258, 0.517, 0.635)
Hf (0.742, 0.483, 0.365)
Hf (0.395, 0.459, 0.536)
Hf (0.605, 0.541, 0.464)
Hf (0.105, 0.959, 0.964)
Hf (0.895, 0.041, 0.036)
Hf (0.579, 0.962, 0.032)
Hf (0.421, 0.038, 0.968)
Hf (0.921, 0.462, 0.468)
Hf (0.079, 0.538, 0.532)
N (0.224, 0.152, 0.503)
N (0.776, 0.848, 0.497)
N (0.276, 0.652, 0.997)
N (0.724, 0.348, 0.003)